*w*
Na3In2Se4 after structural relaxation. Source: Alexandria, functional PBE-GGA.

Structure (POSCAR):
```
Na3In2Se4
1.0
7.0401 -2.3163 0.0000
7.0401 2.3163 0.0000
-6.8051 0.0000 8.3313
Na In Se
3 2 4
direct
0.0000 0.0000 0.0000 Na
0.1599 0.1599 0.8031 Na
0.8401 0.8401 0.1969 Na
0.3454 0.3454 0.6635 In
0.6546 0.6546 0.3365 In
0.2672 0.2672 0.3530 Se
0.4198 0.4198 0.1141 Se
0.5802 0.5802 0.8859 Se
0.7328 0.7328 0.6470 Se
```

Properties
ρ	3.8	g cm⁻³

---

*x*
Na3In2Se4 after structural relaxation. Source: Alexandria, functional PBE-GGA.

Structure (POSCAR):
```
Na3In2Se4
1.0
6.5866 -4.9731 0.0000
6.5866 4.9731 0.0000
-0.1580 0.0000 8.1859
Na In Se
6 4 8
direct
0.1059 0.8941 0.7500 Na
0.2510 0.4930 0.9439 Na
0.4930 0.2510 0.4439 Na
0.5070 0.7490 0.5561 Na
0.7490 0.5070 0.0561 Na
0.8941 0.1059 0.2500 Na
0.0557 0.3068 0.6024 In
0.3068 0.0557 0.1024 In
0.6932 0.9443 0.8976 In
0.9443 0.6932 0.3976 In
0.0413 0.2328 0.9260 Se
0.2261 0.5462 0.5749 Se
0.2328 0.0413 0.4260 Se
0.4538 0.7739 0.9251 Se
0.5462 0.2261 0.0749 Se
0.7672 0.9587 0.5740 Se
0.7739 0.4538 0.4251 Se
0.9587 0.7672 0.0740 Se
```

Properties
ρ	3.8	g cm⁻³

---

Which structure wins on stability? *x* wins.

---

*w*
Na3InSe3 after structural relaxation. Source: Alexandria, functional PBE-GGA.

Structure (POSCAR):
```
Na3InSe3
1.0
8.3857 0.0000 0.0000
0.0000 7.5538 0.0000
-1.0613 0.0000 12.7923
Na In Se
12 4 12
direct
0.0915 0.2377 0.1004 Na
0.0915 0.2623 0.6004 Na
0.1547 0.7201 0.6702 Na
0.1547 0.7799 0.1702 Na
0.3846 0.1801 0.8477 Na
0.3846 0.3199 0.3477 Na
0.6154 0.6801 0.6523 Na
0.6154 0.8199 0.1523 Na
0.8453 0.2201 0.8298 Na
0.8453 0.2799 0.3298 Na
0.9085 0.7377 0.3996 Na
0.9085 0.7623 0.8996 Na
0.3265 0.6147 0.9408 In
0.3265 0.8853 0.4408 In
0.6735 0.1147 0.5592 In
0.6735 0.3853 0.0592 In
0.1149 0.0546 0.3225 Se
0.1149 0.4454 0.8225 Se
0.2316 0.5709 0.4736 Se
0.2316 0.9291 0.9736 Se
0.3944 0.0301 0.6318 Se
0.3944 0.4699 0.1318 Se
0.6056 0.5301 0.8682 Se
0.6056 0.9699 0.3682 Se
0.7684 0.0709 0.0264 Se
0.7684 0.4291 0.5264 Se
0.8851 0.5546 0.1775 Se
0.8851 0.9454 0.6775 Se
```

Properties
ρ	3.4	g cm⁻³

---

*x*
Na3InSe3 after structural relaxation. Source: Alexandria, functional PBE-GGA.

Structure (POSCAR):
```
Na3InSe3
1.0
4.1868 -6.5787 0.0000
4.1868 6.5787 0.0000
-0.9651 0.0000 7.2952
Na In Se
6 2 6
direct
0.1748 0.8252 0.0000 Na
0.2432 0.7568 0.5000 Na
0.4051 0.4051 0.1482 Na
0.5949 0.5949 0.8518 Na
0.7568 0.2432 0.5000 Na
0.8252 0.1748 0.0000 Na
0.1948 0.1948 0.6332 In
0.8052 0.8052 0.3668 In
0.1057 0.1057 0.2751 Se
0.1632 0.4854 0.7761 Se
0.4854 0.1632 0.7761 Se
0.5146 0.8368 0.2239 Se
0.8368 0.5146 0.2239 Se
0.8943 0.8943 0.7249 Se
```

Properties
ρ	3.5	g cm⁻³

---

Which structure wins on stability? *w* wins.

---

*w*
Na2InSe2 after structural relaxation. Source: Alexandria, functional PBE-GGA.

Structure (POSCAR):
```
Na2InSe2
1.0
7.8439 0.0000 0.0000
0.0000 7.8439 0.0000
0.0000 0.0000 4.1212
Na In Se
4 2 4
direct
0.1342 0.3658 0.0000 Na
0.3658 0.8658 0.0000 Na
0.6342 0.1342 0.0000 Na
0.8658 0.6342 0.0000 Na
0.0000 0.0000 0.5000 In
0.5000 0.5000 0.5000 In
0.1803 0.6803 0.5000 Se
0.3197 0.1803 0.5000 Se
0.6803 0.8197 0.5000 Se
0.8197 0.3197 0.5000 Se
```

Properties
ρ	4.2	g cm⁻³

---

*x*
Na2InSe2 after structural relaxation. Source: Alexandria, functional PBE-GGA.

Structure (POSCAR):
```
Na2InSe2
1.0
2.5551 -7.9457 0.0000
2.5551 7.9457 0.0000
0.0000 0.0000 6.8030
Na In Se
4 2 4
direct
0.0180 0.9820 0.5000 Na
0.2004 0.7996 0.7995 Na
0.7996 0.2004 0.2995 Na
0.9820 0.0180 0.0000 Na
0.3981 0.6019 0.6681 In
0.6019 0.3981 0.1681 In
0.1589 0.8411 0.2271 Se
0.4318 0.5682 0.2619 Se
0.5682 0.4318 0.7619 Se
0.8411 0.1589 0.7271 Se
```

Properties
ρ	3.8	g cm⁻³

---

Which structure wins on stability? *x* wins.

---

*w*
Na3InSe after structural relaxation. Source: Alexandria, functional PBE-GGA.

Structure (POSCAR):
```
Na3InSe
1.0
5.7029 0.0000 0.0000
0.0000 5.7029 0.0000
0.0000 0.0000 5.7029
Na In Se
3 1 1
direct
0.0000 0.0000 0.5000 Na
0.0000 0.5000 0.0000 Na
0.5000 0.0000 0.0000 Na
0.0000 0.0000 0.0000 In
0.5000 0.5000 0.5000 Se
```

Properties
ρ	2.4	g cm⁻³

---

*x*
Na3InSe after structural relaxation. Source: Alexandria, functional PBE-GGA.

Structure (POSCAR):
```
Na3InSe
1.0
5.5310 0.0000 0.0000
0.0000 5.5310 0.0000
0.0000 0.0000 5.5310
Na In Se
3 1 1
direct
0.0000 0.0000 0.5000 Na
0.0000 0.5000 0.0000 Na
0.5000 0.0000 0.0000 Na
0.5000 0.5000 0.5000 In
0.0000 0.0000 0.0000 Se
```

Properties
ρ	2.6	g cm⁻³

---

Which structure wins on stability? *x* wins.

---

*w*
Na2InSi after structural relaxation. Source: Alexandria, functional PBE-GGA.

Structure (POSCAR):
```
Na2InSi
1.0
0.0000 3.6041 3.6041
3.6041 0.0000 3.6041
3.6041 3.6041 0.0000
Na In Si
2 1 1
direct
0.2500 0.2500 0.2500 Na
0.7500 0.7500 0.7500 Na
0.0000 0.0000 0.0000 In
0.5000 0.5000 0.5000 Si
```

Properties
ρ	3.3	g cm⁻³

---

*x*
Na2InSi after structural relaxation. Source: Alexandria, functional PBE-GGA.

Structure (POSCAR):
```
Na2InSi
1.0
-2.1270 2.1270 10.8758
2.1270 -2.1270 10.8758
2.1270 2.1270 -10.8758
Na In Si
4 2 2
direct
0.1091 0.6250 0.9841 Na
0.3750 0.3591 0.4841 Na
0.6409 0.1250 0.0159 Na
0.8750 0.8909 0.5159 Na
0.2500 0.7500 0.5000 In
0.5000 0.5000 0.0000 In
0.0000 0.0000 0.0000 Si
0.7500 0.2500 0.5000 Si
```

Properties
ρ	3.2	g cm⁻³

---

Which structure wins on stability? *w* wins.

---

*w*
Na2InSi2 after structural relaxation. Source: Alexandria, functional PBE-GGA.

Structure (POSCAR):
```
Na2InSi2
1.0
-2.1162 2.1162 6.3927
2.1162 -2.1162 6.3927
2.1162 2.1162 -6.3927
Na In Si
2 1 2
direct
0.2500 0.7500 0.5000 Na
0.7500 0.2500 0.5000 Na
0.0000 0.0000 0.0000 In
0.4121 0.4121 0.0000 Si
0.5879 0.5879 0.0000 Si
```

Properties
ρ	3.1	g cm⁻³

---

*x*
Na2InSi2 after structural relaxation. Source: Alexandria, functional PBE-GGA.

Structure (POSCAR):
```
Na2InSi2
1.0
8.3447 0.0000 0.0000
0.0000 8.3447 0.0000
0.0000 0.0000 3.1930
Na In Si
4 2 4
direct
0.1949 0.3051 0.0000 Na
0.3051 0.8051 0.0000 Na
0.6949 0.1949 0.0000 Na
0.8051 0.6949 0.0000 Na
0.0000 0.0000 0.5000 In
0.5000 0.5000 0.5000 In
0.0986 0.5986 0.5000 Si
0.4014 0.0986 0.5000 Si
0.5986 0.9014 0.5000 Si
0.9014 0.4014 0.5000 Si
```

Properties
ρ	3.2	g cm⁻³

---

Which structure wins on stability? *x* wins.